(1)
AlHgAu2 after structural relaxation, computed with GGA-PBE. Values from VASP.

The structure in Quantum ESPRESSO input format:
```
&SYSTEM
  ibrav = 0, nat = 4, ntyp = 3
/
ATOMIC_SPECIES
Al 26.98 Al.upf
Hg 200.59 Hg.upf
Au 196.97 Au.upf
CELL_PARAMETERS angstrom
4.352 0.000 0.000
0.000 4.352 0.000
0.000 0.000 3.920
ATOMIC_POSITIONS crystal
Al 0.000 0.000 0.000
Hg 0.500 0.500 0.000
Au 0.000 0.500 0.500
Au 0.500 0.000 0.500
```

Results
V: 74 Å³/f.u.
E_tot: -10.6 eV per cell
Space-group type: P4/mmm, No. 123
DFT formation energy: -0.001 eV per atom



(2)
Al2HgAu after structural relaxation, computed with GGA-PBE. Values from VASP.

The structure in Quantum ESPRESSO input format:
```
&SYSTEM
  ibrav = 0, nat = 4, ntyp = 3
/
ATOMIC_SPECIES
Al 26.98 Al.upf
Hg 200.59 Hg.upf
Au 196.97 Au.upf
CELL_PARAMETERS angstrom
4.791 -1.707 0.000
4.791 1.707 0.000
-0.299 0.000 4.607
ATOMIC_POSITIONS crystal
Al 0.000 0.000 0.000
Al 0.249 0.249 0.703
Hg 0.747 0.747 0.200
Au 0.509 0.509 0.546
```

Results
V: 75 Å³/f.u.
E_tot: -11.3 eV per cell
Space-group type: Cm, No. 8
DFT formation energy: -0.056 eV per atom



(3)
Al2HgAu after structural relaxation, computed with GGA-PBE. Values from VASP.

The structure in Quantum ESPRESSO input format:
```
&SYSTEM
  ibrav = 0, nat = 4, ntyp = 3
/
ATOMIC_SPECIES
Al 26.98 Al.upf
Hg 200.59 Hg.upf
Au 196.97 Au.upf
CELL_PARAMETERS angstrom
1.613 0.931 8.356
-1.613 0.931 8.356
0.000 -1.862 8.356
ATOMIC_POSITIONS crystal
Al 0.244 0.244 0.244
Al 0.756 0.756 0.756
Hg 0.000 0.000 0.000
Au 0.500 0.500 0.500
```

Results
V: 75 Å³/f.u.
E_tot: -11.5 eV per cell
Space-group type: R-3m, No. 166
DFT formation energy: -0.111 eV per atom



Theoretical density values (in g cm⁻³) by entry order: 13.900; 9.952; 9.959.